Below is crystalline Sm2NbCrN5 at its relaxed geometry, with properties calculated at the PBE level.

Calculated values
**Energy relative to the elements, uncorrected**: -1.0558 eV per atom
**Calculated density**: 7.6 g cm⁻³
**Fermi-level density of states**: 0.25 states/eV/atom

Cell lengths 6.8930, 6.8930, 10.2375 Å; angles 90.00, 90.00, 152.44 degrees
Closest atoms and distances in Å follow each position.
Atoms (fractional coordinates):
Sm 0.1116 0.8884 0.5000  8 N 2.40-2.66
Sm 0.1418 0.8582 0.1109  7 N 2.44-2.60
Sm 0.8582 0.1418 0.6109  7 N 2.44-2.60
Sm 0.8884 0.1116 0.0000  8 N 2.40-2.66
Nb 0.2150 0.7850 0.8199  5 N 1.97-2.20
Nb 0.7850 0.2150 0.3199  5 N 1.97-2.20
Cr 0.4714 0.5286 0.2621  3 N 1.76-1.83
Cr 0.5286 0.4714 0.7621  3 N 1.76-1.83
N 0.0410 0.9590 0.8403  2 Cr 1.83
N 0.2880 0.7120 0.4586  2 Nb 2.17, 1 Sm 2.40
N 0.3217 0.6783 0.1852  1 Cr 2.15, 2 Nb 2.20
N 0.3616 0.6384 0.8074  1 Nb 1.97
N 0.4929 0.5071 0.5963  1 Cr 1.76
N 0.5071 0.4929 0.0963  1 Cr 1.76
N 0.6384 0.3616 0.3074  1 Nb 1.97
N 0.6783 0.3217 0.6852  1 Cr 2.15, 2 Nb 2.20
N 0.7120 0.2880 0.9586  2 Nb 2.17, 1 Sm 2.40
N 0.9590 0.0410 0.3403  2 Cr 1.83

=====

Below is crystalline Tb2GaPd at its relaxed geometry, with properties calculated at the PBE level.

Calculated values
**Formation energy**: -736 meV per atom
**Calculated density**: 8.7 g cm⁻³
**Fermi-level density of states**: 0.68 states/eV/atom

Cell lengths 5.9677, 4.4736, 7.5032 Å; angles 90.00, 110.56, 90.00 degrees
Closest atoms and distances in Å follow each position.
Atoms (fractional coordinates):
Tb 0.1773 0.2500 0.4105  3 Pd 2.92-3.03, 4 Ga 3.03-3.13
Tb 0.2822 0.7500 0.0733  4 Pd 2.97-3.13, 3 Ga 3.07-3.10
Tb 0.7178 0.2500 0.9267  4 Pd 2.97-3.13, 3 Ga 3.07-3.10
Tb 0.8227 0.7500 0.5895  3 Pd 2.92-3.03, 4 Ga 3.03-3.13
Ga 0.3786 0.7500 0.6969  2 Pd 2.82, 7 Tb 3.03-3.13
Ga 0.6214 0.2500 0.3031  2 Pd 2.82, 7 Tb 3.03-3.13
Pd 0.1578 0.2500 0.7946  2 Ga 2.82, 7 Tb 2.92-3.13
Pd 0.8422 0.7500 0.2054  2 Ga 2.82, 7 Tb 2.92-3.13

=====

Below is crystalline SrCdBi2Pb2 at its relaxed geometry, with properties calculated at the PBE level.

Calculated values
**Formation energy**: -241 meV per atom
**Calculated density**: 8.5 g cm⁻³
**Fermi-level density of states**: 0.33 states/eV/atom

Cell lengths 4.7934, 10.3766, 8.0668 Å; angles 90.00, 90.00, 90.00 degrees
Closest atoms and distances in Å follow each position.
Atoms (fractional coordinates):
Sr 0.0000 0.0805 0.0000  5 Bi 3.41-3.50, 4 Cd 3.69-3.81, 1 Pb 3.81
Sr 0.0000 0.9195 0.5000  5 Bi 3.41-3.50, 4 Cd 3.69-3.81, 1 Pb 3.81
Cd 0.5000 0.1709 0.6730  4 Bi 3.07-3.08
Cd 0.5000 0.8291 0.1730  4 Bi 3.07-3.08
Bi 0.0000 0.3487 0.7409  2 Cd 3.07, 2 Pb 3.28-3.31
Bi 0.0000 0.6513 0.2409  2 Cd 3.07, 2 Pb 3.28-3.31
Bi 0.5000 0.1088 0.2991  2 Cd 3.08, 2 Sr 3.41, 2 Pb 3.42
Bi 0.5000 0.8912 0.7991  2 Cd 3.08, 2 Sr 3.41, 2 Pb 3.42
Pb 0.0000 0.3424 0.3302  4 Bi 3.28-3.42, 4 Pb 3.58-3.63
Pb 0.0000 0.6576 0.8302  4 Bi 3.28-3.42, 4 Pb 3.58-3.63
Pb 0.5000 0.4436 0.0275  4 Bi 3.47-3.65, 4 Pb 3.58-3.63
Pb 0.5000 0.5564 0.5275  4 Bi 3.47-3.65, 4 Pb 3.58-3.63